! CrO2 PBE with a Hubbard U optimized geometry; values from VASP
&SYSTEM
  ibrav = 0, nat = 6, ntyp = 2
/
ATOMIC_SPECIES
Cr 52.00 Cr.upf
O 16.00 O.upf
ATOMIC_POSITIONS angstrom
Cr 7.311 2.621 3.291
Cr 1.822 0.685 2.839
O 3.380 0.809 3.403
O 8.869 2.745 3.855
O 0.263 0.560 2.275
O 5.752 2.497 2.727
CELL_PARAMETERS angstrom
0.035 3.540 -0.876
-1.114 -1.048 3.311
10.212 0.814 3.695
! Magnetic moment   3.938 μB/cell
! Energy   -34.2 eV per cell